Compound: Sc5Cu
Source: Alexandria via LeMat-Bulk
Functional: SCAN
Structure: PBEsol geometry

Unit cell a=10.984 b=3.303 c=7.602 alpha=90.00 beta=112.41 gamma=90.00
Space group C2/m (No. 12)
Asymmetric unit:
Sc (0.000, 0.000, 0.000) x2
Sc (0.139, 0.500, 0.363) x4
Sc (0.169, 0.500, 0.798) x4
Cu (0.000, 0.000, 0.500) x2

Calculated total energy in eV/atom: -14.451
E_form in eV per formula unit: -0.324
Magnetic moment in μB per formula unit: 0.00

---

Compound: Tb3Si2S8I
Source: Alexandria via LeMat-Bulk
Functional: SCAN
Structure: PBEsol geometry

Unit cell a=15.407 b=7.572 c=10.529 alpha=90.00 beta=98.70 gamma=90.00
Space group C2/c (No. 15)
Asymmetric unit:
Tb (0.000, 0.109, 0.250) x4
Tb (0.201, 0.376, 0.681) x8
Si (0.158, 0.038, 0.026) x8
S (0.065, 0.164, 0.536) x8
S (0.144, 0.254, 0.148) x8
S (0.147, 0.100, 0.828) x8
S (0.215, 0.430, 0.414) x8
I (0.000, 0.482, 0.750) x4

Calculated total energy in eV/atom: -21.170
Formation energy without anion corrections in eV/atom: -1.593
Magnetic moment in μB per formula unit: 0.00

---

Compound: CaBeAs2Se
Source: Alexandria via LeMat-Bulk
Functional: SCAN
Structure: PBEsol geometry

Unit cell a=4.362 b=4.362 c=5.346 alpha=90.00 beta=90.00 gamma=90.00
Space group P4/mmm (No. 123)
Asymmetric unit:
Ca (0.000, 0.000, 0.000) x1
Be (0.500, 0.500, 0.500) x1
As (0.000, 0.500, 0.500) x2
Se (0.500, 0.500, 0.000) x1

Calculated total energy in eV/atom: -15.172
Formation energy without anion corrections in eV/atom: -0.277
Magnetic moment in μB per formula unit: 0.00

---

Compound: Sc2AlAg
Source: Alexandria via LeMat-Bulk
Functional: SCAN
Structure: PBEsol geometry

Unit cell a=3.112 b=3.112 c=8.020 alpha=90.00 beta=90.00 gamma=90.00
Space group P4mm (No. 99)
Asymmetric unit:
Sc (0.000, 0.000, 0.000) x1
Sc (0.500, 0.500, 0.304) x1
Al (0.500, 0.500, 0.751) x1
Ag (0.000, 0.000, 0.554) x1

Calculated total energy in eV/atom: -17.154
E_form in eV per formula unit: -1.021
Magnetic moment in μB per formula unit: 0.76

---

Compound: KAl2Ir
Source: Alexandria via LeMat-Bulk
Functional: SCAN
Structure: PBEsol geometry

Unit cell a=5.322 b=2.695 c=5.542 alpha=90.00 beta=112.85 gamma=90.00
Space group P2/m (No. 10)
Asymmetric unit:
K (0.000, 0.000, 0.000) x1
Al (0.500, 0.000, 0.500) x1
Al (0.500, 0.500, 0.000) x1
Ir (0.000, 0.500, 0.500) x1

Calculated total energy in eV/atom: -23.160
E_form in eV per formula unit: 2.290
Energy above the most stable polymorph in this dataset in eV/atom: 0.800
Magnetic moment in μB per formula unit: 0.42

---

Compound: FeIr2
Source: Alexandria via LeMat-Bulk
Functional: SCAN
Structure: PBEsol geometry

Unit cell a=3.978 b=3.978 c=2.811 alpha=90.00 beta=90.00 gamma=90.00
Space group P4/mmm (No. 123)
Asymmetric unit:
Fe (0.000, 0.000, 0.000) x1
Ir (0.000, 0.500, 0.500) x2

Calculated total energy in eV/atom: -52.985
E_form in eV per formula unit: 1.372
Magnetic moment in μB per formula unit: 2.94